No. 1
KScC2: optimized geometry, GGA-PBE.

Results
E: -4.74 eV/atom
DFT formation energy: 1.73 eV/atom
V: 58.4 Å³/f.u.

a = 4.354 Å, b = 4.354 Å, c = 4.354 Å
α = 60.00°, β = 60.00°, γ = 60.00°
Atoms (fractional coordinates):
C 0.250 0.250 0.250
K 0.000 0.000 0.000
Sc 0.500 0.500 0.500
C 0.750 0.750 0.750



No. 2
Fe2RuPt: optimized geometry, GGA-PBE.

Results
E: -8.06 eV/atom
DFT formation energy: 0.00 eV/atom
V: 52.9 Å³/f.u.

a = 4.540 Å, b = 4.540 Å, c = 4.540 Å
α = 130.48°, β = 130.46°, γ = 72.66°
Site moments in Bohr magnetons follow the coordinates.
Atoms (fractional coordinates):
Ru 0.750 0.250 0.500  -0.15
Fe 0.500 0.500 0.000  2.32
Pt 0.250 0.750 0.500  0.07
Fe 0.000 0.000 0.000  2.32



No. 3
Cd2IrAu: optimized geometry, GGA-PBE.

Results
E: -3.35 eV/atom
DFT formation energy: 0.14 eV/atom
V: 72.6 Å³/f.u.

a = 4.966 Å, b = 4.966 Å, c = 5.073 Å
α = 77.80°, β = 77.80°, γ = 36.53°
Atoms (fractional coordinates):
Ir 0.750 0.750 0.750
Cd 0.496 0.496 0.508
Cd 0.004 0.004 0.992
Au 0.250 0.250 0.250



No. 4
SrAcMgCd: optimized geometry, GGA-PBE.

Results
E: -2.26 eV/atom
DFT formation energy: -0.19 eV/atom
V: 138.2 Å³/f.u.

a = 5.804 Å, b = 5.804 Å, c = 5.804 Å
α = 60.00°, β = 60.00°, γ = 60.00°
Atoms (fractional coordinates):
Mg 0.250 0.250 0.250
Cd 0.750 0.750 0.750
Sr 0.000 0.000 0.000
Ac 0.500 0.500 0.500



No. 5
KBe2Pt2: optimized geometry, GGA-PBE.

Results
E: -4.37 eV/atom
DFT formation energy: -0.24 eV/atom
V: 84.7 Å³/f.u.

a = 4.028 Å, b = 4.028 Å, c = 5.944 Å
α = 70.19°, β = 70.19°, γ = 90.00°
Atoms (fractional coordinates):
Pt 0.639 0.639 0.722
Be 0.750 0.250 0.500
Be 0.250 0.750 0.500
K 0.000 0.000 0.000
Pt 0.361 0.361 0.278



No. 6
RbZr2Sc: optimized geometry, GGA-PBE.

Results
E: -4.93 eV/atom
DFT formation energy: 1.17 eV/atom
V: 111.3 Å³/f.u.

a = 4.388 Å, b = 4.388 Å, c = 11.975 Å
α = 79.44°, β = 79.44°, γ = 90.00°
Atoms (fractional coordinates):
Zr 0.375 0.392 0.750
Sc 0.250 0.750 0.500
Sc 0.500 0.500 0.000
Rb 0.750 0.250 0.500
Zr 0.142 0.625 0.250
Rb 0.000 0.000 0.000
Zr 0.875 0.858 0.750
Zr 0.608 0.125 0.250



No. 7
CsK3Ca: optimized geometry, GGA-PBE.

Results
E: -0.95 eV/atom
DFT formation energy: 0.28 eV/atom
V: 460.2 Å³/f.u.

a = 7.721 Å, b = 7.721 Å, c = 7.721 Å
α = 90.00°, β = 90.00°, γ = 90.00°
Atoms (fractional coordinates):
Ca 0.000 0.000 0.000
K 0.000 0.500 0.000
K 0.000 0.000 0.500
K 0.500 0.000 0.000
Cs 0.500 0.500 0.500



No. 8
Sm2HoFe9: optimized geometry, GGA-PBE.

Results
E: -7.54 eV/atom
DFT formation energy: -0.02 eV/atom
V: 186.8 Å³/f.u.

a = 5.126 Å, b = 5.126 Å, c = 8.728 Å
α = 72.92°, β = 72.92°, γ = 60.00°
Site moments in Bohr magnetons follow the coordinates.
Atoms (fractional coordinates):
Fe 0.082 0.579 0.760  2.28
Fe 0.421 0.421 0.240  2.28
Fe 0.500 0.500 0.500  2.10
Sm 0.141 0.141 0.576  -0.38
Sm 0.859 0.859 0.424  -0.38
Fe 0.579 0.082 0.760  2.28
Fe 0.333 0.333 0.002  2.39
Fe 0.421 0.918 0.240  2.28
Fe 0.667 0.667 0.998  2.39
Fe 0.918 0.421 0.240  2.28
Fe 0.579 0.579 0.760  2.28
Ho 0.000 0.000 0.000  -0.46



No. 9
NdY3Zn2: optimized geometry, GGA-PBE.

Results
E: -4.69 eV/atom
DFT formation energy: -0.24 eV/atom
V: 159.5 Å³/f.u.

a = 3.587 Å, b = 3.587 Å, c = 12.396 Å
α = 90.00°, β = 90.00°, γ = 90.00°
Atoms (fractional coordinates):
Y 0.000 0.000 0.000
Zn 0.500 0.500 0.143
Zn 0.500 0.500 0.857
Y 0.000 0.000 0.714
Nd 0.500 0.500 0.500
Y 0.000 0.000 0.286



No. 10
SmHoEr2Tm: optimized geometry, GGA-PBE.

Results
E: -4.18 eV/atom
DFT formation energy: 0.40 eV/atom
V: 169.2 Å³/f.u.

a = 7.166 Å, b = 8.317 Å, c = 7.036 Å
α = 126.23°, β = 90.00°, γ = 90.00°
Atoms (fractional coordinates):
Er 0.000 0.310 0.000
Sm 0.250 0.727 0.455
Ho 0.250 0.001 0.002
Er 0.500 0.310 0.000
Er 0.500 0.690 0.000
Sm 0.750 0.273 0.545
Er 0.000 0.690 0.000
Ho 0.750 0.999 0.998
Tm 0.750 0.720 0.440
Tm 0.250 0.280 0.560



No. 11
TlWSe2Br: optimized geometry, GGA-PBE.

Results
E: -3.36 eV/atom
ΔE_f (raw): 33.10 kcal/mol of atoms
V: 155.4 Å³/f.u.

a = 5.405 Å, b = 5.405 Å, c = 5.319 Å
α = 90.00°, β = 90.00°, γ = 90.00°
Site moments in Bohr magnetons follow the coordinates.
Atoms (fractional coordinates):
Se 0.000 0.500 0.000  -0.28
W 0.500 0.500 0.500  3.33
Br 0.000 0.000 0.500  0.04
Se 0.500 0.000 0.000  -0.28
Tl 0.000 0.000 0.000  0.02



No. 12
LiIn2Ag: optimized geometry, GGA-PBE.

Results
E: -2.70 eV/atom
DFT formation energy: -0.14 eV/atom
V: 83.7 Å³/f.u.

a = 3.550 Å, b = 3.923 Å, c = 6.012 Å
α = 90.00°, β = 90.00°, γ = 90.00°
Atoms (fractional coordinates):
Li 0.000 0.000 0.507
Ag 0.500 0.500 0.742
In 0.500 0.500 0.269
In 0.000 0.000 0.982